Entry 1:
Here is a geometry-optimized TaCr2In structure from the Alexandria database. Energies are from PBE.

Calculated values
Energy of formation ... 394 meV per atom
Space group ... No. 65
E_tot ... -8.066 eV/atom

abc: 2.8277 2.8277 8.5678
angles: 90.00 90.00 111.17
Closest atoms and distances in Å follow each position.
Fractional coordinates of all 4 atoms:
Cr: 0.0000 0.0000 0.5137  2 Ta 2.58, 2 In 2.77, 4 Cr 2.83
Cr: 0.0000 0.0000 0.9863  2 Ta 2.58, 2 In 2.77, 4 Cr 2.83
Ta: 0.5000 0.5000 0.7500  4 Cr 2.58, 4 Ta 2.83
In: 0.5000 0.5000 0.2500  4 Cr 2.77, 4 In 2.83

Entry 2:
Here is a geometry-optimized TaCr2In structure from the Alexandria database. Energies are from PBE.

Calculated values
Energy of formation ... 481 meV per atom
Space group ... No. 216
E_tot ... -7.978 eV/atom

abc: 4.5139 4.5139 4.5139
angles: 60.00 60.00 60.00
Closest atoms and distances in Å follow each position.
Fractional coordinates of all 4 atoms:
Cr: 0.0000 0.0000 0.0000  4 Cr 2.76, 4 Ta 2.76
Cr: 0.7500 0.7500 0.7500  4 Cr 2.76, 4 In 2.76
In: 0.5000 0.5000 0.5000  4 Cr 2.76, 4 Ta 2.76
Ta: 0.2500 0.2500 0.2500  4 Cr 2.76, 4 In 2.76

Entry 3:
Here is a geometry-optimized TaCr2In structure from the Alexandria database. Energies are from PBE.

Calculated values
Energy of formation ... 356 meV per atom
Space group ... No. 10
E_tot ... -8.104 eV/atom

abc: 4.3918 2.8676 5.3785
angles: 82.36 90.00 90.00
Closest atoms and distances in Å follow each position.
Fractional coordinates of all 4 atoms:
Ta: 0.5000 0.7500 0.7500  4 Cr 2.63, 2 Ta 2.87, 2 In 2.87
Cr: 0.0000 0.0745 0.9329  1 Cr 2.09
Cr: 0.0000 0.4255 0.5671  1 Cr 2.09
In: 0.5000 0.2500 0.2500  4 Cr 2.87, 2 In 2.87, 2 Ta 2.87

Entry 4:
Here is a geometry-optimized TaCrIn3 structure from the Alexandria database. Energies are from PBE.

Calculated values
Energy of formation ... 1547 meV per atom
Space group ... No. 221
E_tot ... -4.391 eV/atom
Offset from the most stable computed form ... 304 meV/atom

abc: 5.3389 5.3389 5.3389
angles: 90.00 90.00 90.00
Closest atoms and distances in Å follow each position.
Fractional coordinates of all 5 atoms:
Cr: 0.5000 0.5000 0.5000  12 In 3.78
In: 0.0000 0.5000 0.0000  2 Ta 2.67
In: 0.0000 0.0000 0.5000  2 Ta 2.67
In: 0.5000 0.0000 0.0000  2 Ta 2.67
Ta: 0.0000 0.0000 0.0000  6 In 2.67

Entry 5:
Here is a geometry-optimized TaCr2In structure from the Alexandria database. Energies are from PBE.

Calculated values
Energy of formation ... 330 meV per atom
Space group ... No. 6
E_tot ... -8.129 eV/atom

abc: 3.7896 2.9677 6.1249
angles: 69.50 90.00 90.00
Closest atoms and distances in Å follow each position.
Fractional coordinates of all 4 atoms:
In: 0.0000 0.4917 0.4829  6 Cr 2.74-3.07, 2 In 2.97, 4 Ta 3.01-3.03
Ta: 0.5000 0.7683 0.8001  3 Cr 2.44-2.59
Cr: 0.0000 0.0349 0.0165  2 Cr 2.35, 2 Ta 2.59
Cr: 0.5000 0.2051 0.2006  2 Cr 2.35, 1 Ta 2.44

Entry 6:
Here is a geometry-optimized Ta2CrIn2Te6 structure from the Alexandria database. Energies are from PBE.

Calculated values
ΔE_f (raw) ... -0.187 eV per atom
Space group ... No. 12
E_tot ... -5.429 eV/atom

abc: 6.6639 6.6639 10.0797
angles: 102.64 102.64 121.69
Closest atoms and distances in Å follow each position.
Fractional coordinates of all 11 atoms:
Ta: 0.3742 0.6258 0.5000  6 Te 2.77-2.96, 1 Ta 2.93
Ta: 0.6258 0.3742 0.5000  6 Te 2.77-2.96, 1 Ta 2.93
Cr: 0.0000 0.0000 0.5000  6 Te 2.73-2.81
In: 0.2283 0.7717 0.0000  2 Te 3.18, 2 In 3.29
In: 0.7717 0.2283 0.0000  2 Te 3.18, 2 In 3.29
Te: 0.0993 0.4470 0.6697  1 Cr 2.73, 2 Ta 2.77-2.96
Te: 0.5530 0.9007 0.3303  1 Cr 2.73, 2 Ta 2.77-2.96
Te: 0.9007 0.5530 0.3303  1 Cr 2.73, 2 Ta 2.77-2.96
Te: 0.8474 0.8474 0.7206  2 Ta 2.77, 1 Cr 2.81
Te: 0.4470 0.0993 0.6697  1 Cr 2.73, 2 Ta 2.77-2.96
Te: 0.1526 0.1526 0.2794  2 Ta 2.77, 1 Cr 2.81